No. 1
Below is crystalline Mg2MoRh at its relaxed geometry, with properties calculated at the PBE level.

The structure in POSCAR format:
```
Mg2MoRh
1.0
3.904 0.000 0.000
0.000 3.904 0.000
0.000 0.000 4.310
Mg Mo Rh
2 1 1
Direct
0.000 0.500 0.000
0.500 0.000 0.000
0.000 0.000 0.500
0.500 0.500 0.500
```

Crystal system: tetragonal
SG: No. 123
Polymorph energy (0 for the lowest one), kJ per mole of atoms: 24.1
Energy relative to the elements, meV per atom: 154.6

---

No. 2
Below is crystalline Sc3TeN at its relaxed geometry, with properties calculated at the PBE level.

The structure in POSCAR format:
```
Sc3TeN
1.0
5.379 -2.152 0.000
5.379 2.152 0.000
-3.513 0.000 8.346
Sc Te N
6 2 2
Direct
0.100 0.100 0.165
0.133 0.133 0.673
0.353 0.353 0.062
0.647 0.647 0.938
0.867 0.867 0.327
0.900 0.900 0.835
0.400 0.400 0.610
0.600 0.600 0.390
0.124 0.124 0.930
0.876 0.876 0.070
```

Crystal system: monoclinic
ΔE_f (raw), eV/atom: -1.124
SG: No. 12
Polymorph energy (0 for the lowest one), kJ per mole of atoms: 0.0

---

No. 3
Below is crystalline Li2PmNp3N6 at its relaxed geometry, with properties calculated at the PBE level.

The structure in POSCAR format:
```
Li2PmNp3N6
1.0
7.133 -1.745 0.000
7.133 1.745 0.000
-1.432 0.000 6.877
Li Pm Np N
2 1 3 6
Direct
0.170 0.170 0.379
0.830 0.830 0.621
0.500 0.500 0.000
0.177 0.177 0.813
0.500 0.500 0.500
0.823 0.823 0.187
0.011 0.011 0.733
0.326 0.326 0.982
0.337 0.337 0.405
0.663 0.663 0.595
0.674 0.674 0.018
0.989 0.989 0.267
```

Crystal system: monoclinic
ΔE_f (raw), eV/atom: -1.036
SG: No. 12

---

No. 4
Below is crystalline CuTcB at its relaxed geometry, with properties calculated at the PBE level.

The structure in POSCAR format:
```
CuTcB
1.0
-1.536 2.372 4.433
1.536 -2.372 4.433
1.536 2.372 -4.433
Cu Tc B
2 2 2
Direct
0.249 0.000 0.249
0.751 0.000 0.751
0.220 0.720 0.500
0.780 0.280 0.500
0.386 0.386 0.000
0.614 0.614 0.000
```

Crystal system: orthorhombic
SG: No. 71
Polymorph energy (0 for the lowest one), kJ per mole of atoms: 11.8
Energy relative to the elements, meV per atom: 28.2

---

No. 5
Below is crystalline RbNa2TlIn at its relaxed geometry, with properties calculated at the PBE level.

The structure in POSCAR format:
```
RbNa2TlIn
1.0
6.096 0.000 0.000
0.000 6.096 0.000
0.000 0.000 5.888
Rb Na Tl In
1 2 1 1
Direct
0.000 0.000 0.000
0.000 0.500 0.500
0.500 0.000 0.500
0.500 0.500 0.000
0.500 0.500 0.500
```

Crystal system: tetragonal
SG: No. 123
Polymorph energy (0 for the lowest one), kJ per mole of atoms: 0.0
Energy relative to the elements, meV per atom: 26.2

---

No. 6
Below is crystalline SrSb at its relaxed geometry, with properties calculated at the PBE level.

The structure in POSCAR format:
```
SrSb
1.0
-2.812 3.370 5.737
2.812 -3.370 5.737
2.812 3.370 -5.737
Sr Sb
3 3
Direct
0.000 0.000 0.000
0.331 0.331 0.000
0.669 0.669 0.000
0.146 0.646 0.500
0.500 0.000 0.500
0.854 0.354 0.500
```

Crystal system: orthorhombic
ΔE_f (raw), eV/atom: -0.779
SG: No. 71